[1]
A crystal of CuSb2 relaxed with PBEsol. Source: Alexandria, functional meta-GGA SCAN.

Cell and atoms, written as POSCAR:
```
CuSb2
1.0
-3.036 0.152 -1.217
1.171 -0.593 -2.995
0.267 -5.730 3.024
Cu Sb
1 2
Direct
0.000 0.000 0.000
0.368 0.368 0.736
0.632 0.632 0.264
```

V	21.62	Å³ per atom
total moment	0.0	μB/f.u.
symmetry	I4/mmm
ΔE_f (raw)	0.73	eV/f.u.



[2]
A crystal of CuSb2 relaxed with PBEsol. Source: Alexandria, functional meta-GGA SCAN.

Cell and atoms, written as POSCAR:
```
CuSb2
1.0
3.937 0.000 0.000
-1.968 3.409 0.000
0.000 0.000 4.923
Sb Cu
2 1
Direct
0.667 0.333 0.263
0.333 0.667 0.737
0.000 0.000 0.000
```

V	22.02	Å³ per atom
total moment	0.0	μB/f.u.
symmetry	P-3m1
ΔE_f (raw)	0.19	eV/f.u.



[3]
A crystal of Sc2CuSb relaxed with PBEsol. Source: Alexandria, functional meta-GGA SCAN.

Cell and atoms, written as POSCAR:
```
Sc2CuSb
1.0
3.889 0.000 0.000
0.000 3.969 0.000
-1.944 0.000 5.223
Sc Sb Cu
2 1 1
Direct
0.970 0.000 0.940
0.266 0.500 0.532
0.547 0.500 0.094
0.711 0.000 0.423
```

V	20.15	Å³ per atom
total moment	0.0	μB/f.u.
symmetry	Amm2
ΔE_f (raw)	-2.61	eV/f.u.



[4]
A crystal of Sc2CuSb relaxed with PBEsol. Source: Alexandria, functional meta-GGA SCAN.

Cell and atoms, written as POSCAR:
```
Sc2CuSb
1.0
-0.564 -1.807 2.478
2.359 -0.967 1.794
-0.425 7.379 7.245
Sc Sb Cu
2 1 1
Direct
0.914 0.914 0.257
0.086 0.086 0.743
0.500 0.500 0.500
0.000 0.000 0.000
```

V	21.45	Å³ per atom
total moment	0.0	μB/f.u.
symmetry	R-3m
ΔE_f (raw)	1.08	eV/f.u.



[5]
A crystal of ScCu2Sb2 relaxed with PBEsol. Source: Alexandria, functional meta-GGA SCAN.

Cell and atoms, written as POSCAR:
```
ScCu2Sb2
1.0
-4.645 1.029 -0.140
1.909 -2.964 -4.228
-0.653 -2.393 4.062
Sc Sb Cu
1 2 2
Direct
0.000 0.000 0.000
0.250 0.500 0.750
0.750 0.500 0.250
0.367 0.734 0.367
0.633 0.266 0.633
```

V	19.74	Å³ per atom
total moment	0.0	μB/f.u.
symmetry	I4/mmm
ΔE_f (raw)	-0.43	eV/f.u.



[6]
A crystal of ScCu2Sb relaxed with PBEsol. Source: Alexandria, functional meta-GGA SCAN.

Cell and atoms, written as POSCAR:
```
ScCu2Sb
1.0
-3.157 0.121 2.255
-2.296 -0.060 -3.210
2.652 -4.526 0.615
Cu Sb Sc
2 1 1
Direct
0.026 0.026 0.052
0.704 0.204 0.409
0.504 0.504 0.009
0.265 0.765 0.530
```

V	17.23	Å³ per atom
total moment	0.0	μB/f.u.
symmetry	Imm2
ΔE_f (raw)	-0.81	eV/f.u.



no.,energy (eV per atom)
1,-29.664
2,-29.844
3,-20.885
4,-19.965
5,-23.918
6,-20.677